Density functional theory data (PBE) for crystalline ThIn2Hg at its relaxed geometry.

Values from the calculation:
total magnetization: 0.00 μB per formula unit
ΔE_f: 3.9 kcal/mol of atoms

a b c (Å): 3.4214 3.4214 34.2301
angles (deg): 90.00 90.00 120.00
Space group R-3m (No. 166, hexagonal axes)
Asymmetric unit:
Th (0.0000, 0.0000, 0.0000) (multiplicity 3)
In (0.0000, 0.0000, 0.0954) (multiplicity 6)
Hg (0.0000, 0.0000, 0.5000) (multiplicity 3)